[1]
A plane-wave DFT calculation with GGA-PBE was carried out for a relaxed structure of Sc6SnAs2S3.

Cell: 16.8097 3.7887 7.7613 Å, 90.00 103.86 90.00°
With the nearest neighbours (Å) after each atom.
Space group C2/m (No. 12)
Symmetry-distinct sites (fractional):
Sc 0.0018 0.0000 0.2280  3 S 2.59-2.69, 1 As 2.74, 2 Sn 2.84
Sc 0.1691 0.5000 0.0830  3 As 2.69-2.71, 3 S 2.70-2.76
Sc 0.1741 0.5000 0.5853  3 S 2.60-2.72, 2 As 2.72, 1 Sn 2.84
Sn 0.0000 0.5000 0.5000  6 Sc 2.84
As 0.1658 0.0000 0.8317  6 Sc 2.69-2.74
S 0.0000 0.5000 0.0000  6 Sc 2.59-2.76
S 0.1665 0.0000 0.3303  6 Sc 2.60-2.72

Computed properties:
* raw formation energy: -1465 meV/atom
* V: 479.9 Å³/cell

***

[2]
A plane-wave DFT calculation with GGA-PBE was carried out for a relaxed structure of SrScAs2S8.

Cell: 6.0832 6.0832 8.9382 Å, 90.00 90.00 120.00°
With the nearest neighbours (Å) after each atom.
Space group P-3 (No. 147)
Symmetry-distinct sites (fractional):
Sr 0.0000 0.0000 0.0000  12 S 3.40-3.51
Sc 0.0000 0.0000 0.5000  6 S 2.58
As 0.3333 0.6667 0.7479  4 S 2.18-2.21
S 0.0170 0.6884 0.3115  1 As 2.21
S 0.3333 0.6667 0.9916  1 As 2.18

Computed properties:
* raw formation energy: -601 meV/atom
* V: 286.4 Å³/cell

***

[3]
A plane-wave DFT calculation with GGA-PBE was carried out for a relaxed structure of Sc6Te3AsS2.

Cell: 6.7766 11.7326 6.9998 Å, 90.00 108.84 90.00°
With the nearest neighbours (Å) after each atom.
Space group C2/m (No. 12)
Symmetry-distinct sites (fractional):
Sc 0.2258 0.0000 0.2017  2 S 2.60, 1 As 2.67
Sc 0.2386 0.3295 0.2040  2 S 2.61, 1 As 2.68
Te 0.0000 0.0000 0.5000  6 Sc 2.96-3.01
Te 0.0000 0.3358 0.5000  6 Sc 2.97-3.01
As 0.0000 0.5000 0.0000  6 Sc 2.67-2.68
S 0.0000 0.1671 0.0000  6 Sc 2.60-2.61

Computed properties:
* raw formation energy: -1444 meV/atom
* V: 526.7 Å³/cell

***

[4]
A plane-wave DFT calculation with GGA-PBE was carried out for a relaxed structure of Sc8Te4As3S.

Cell: 7.9126 7.9126 20.0560 Å, 90.00 90.00 120.00°
With the nearest neighbours (Å) after each atom.
Space group R-3m (No. 166, hexagonal axes)
Symmetry-distinct sites (fractional):
Sc 0.0000 0.0000 0.2379  3 As 2.69, 3 Te 2.98
Sc 0.0051 0.5025 0.2363  1 S 2.65, 2 As 2.69
Te 0.0000 0.0000 0.0000  6 Sc 3.03
Te 0.0000 0.5000 0.0000  6 Sc 2.98-2.99
As 0.0000 0.5000 0.5000  6 Sc 2.69
S 0.0000 0.0000 0.5000  6 Sc 2.65

Computed properties:
* raw formation energy: -1361 meV/atom
* V: 1087.5 Å³/cell

***

[5]
A plane-wave DFT calculation with GGA-PBE was carried out for a relaxed structure of Sc6TeAs2S3.

Cell: 16.7351 3.8195 7.7050 Å, 90.00 103.43 90.00°
With the nearest neighbours (Å) after each atom.
Space group C2/m (No. 12)
Symmetry-distinct sites (fractional):
Sc 0.0001 0.0000 0.2165  3 S 2.54-2.67, 1 As 2.73
Sc 0.1663 0.5000 0.0840  3 S 2.71, 3 As 2.72
Sc 0.1787 0.5000 0.5899  3 S 2.57-2.72, 2 As 2.71
Te 0.0000 0.5000 0.5000  6 Sc 2.90-2.91
As 0.1667 0.0000 0.8321  6 Sc 2.71-2.73
S 0.0000 0.5000 0.0000  6 Sc 2.54-2.71
S 0.1632 0.0000 0.3324  6 Sc 2.57-2.72

Computed properties:
* raw formation energy: -1582 meV/atom
* V: 479.0 Å³/cell

***

[6]
A plane-wave DFT calculation with GGA-PBE was carried out for a relaxed structure of Sc6Te3As2S.

Cell: 17.5545 3.9503 8.0653 Å, 90.00 105.10 90.00°
With the nearest neighbours (Å) after each atom.
Space group C2/m (No. 12)
Symmetry-distinct sites (fractional):
Sc 0.0067 0.0000 0.2179  2 S 2.63, 1 As 2.71
Sc 0.1527 0.5000 0.0970  1 S 2.59, 2 As 2.70
Sc 0.1736 0.5000 0.5609  3 As 2.69-2.72, 3 Te 2.96-2.98
Te 0.0000 0.5000 0.5000  6 Sc 2.96-3.04
Te 0.1680 0.0000 0.8334  6 Sc 2.96-3.05
As 0.1662 0.0000 0.3304  6 Sc 2.69-2.72
S 0.0000 0.5000 0.0000  6 Sc 2.59-2.63

Computed properties:
* raw formation energy: -1379 meV/atom
* V: 540.0 Å³/cell

***

[7]
A plane-wave DFT calculation with GGA-PBE was carried out for a relaxed structure of ScTl2AsS4.

Cell: 7.9350 8.2231 11.4347 Å, 90.00 90.00 90.00°
With the nearest neighbours (Å) after each atom.
Space group Imma (No. 74)
Symmetry-distinct sites (fractional):
Sc 0.2500 0.2500 0.2500  6 S 2.64-2.65
Tl 0.0000 0.0000 0.0000  6 S 3.06-3.09
Tl 0.2500 0.2500 0.7500  6 S 3.09-3.10
As 0.0000 0.0000 0.5000  6 S 2.66-2.68
S 0.0000 0.0391 0.2689  2 Sc 2.64, 1 As 2.66
S 0.2157 0.2500 0.4808  1 Sc 2.65, 2 As 2.68

Computed properties:
* raw formation energy: -703 meV/atom
* V: 746.1 Å³/cell

***

[8]
A plane-wave DFT calculation with GGA-PBE was carried out for a relaxed structure of Sc6TlAs2S3.

Cell: 16.8205 3.7778 7.7985 Å, 90.00 104.69 90.00°
With the nearest neighbours (Å) after each atom.
Space group C2/m (No. 12)
Symmetry-distinct sites (fractional):
Sc 0.0037 0.0000 0.2240  3 S 2.56-2.67, 1 As 2.76
Sc 0.1694 0.5000 0.0801  3 As 2.70-2.71, 3 S 2.72-2.76
Sc 0.1751 0.5000 0.5849  3 S 2.56-2.73, 2 As 2.72, 1 Tl 2.85
Tl 0.0000 0.5000 0.5000  6 Sc 2.85-2.88
As 0.1647 0.0000 0.8292  6 Sc 2.70-2.76
S 0.0000 0.5000 0.0000  6 Sc 2.56-2.76
S 0.1674 0.0000 0.3293  6 Sc 2.56-2.73

Computed properties:
* raw formation energy: -1393 meV/atom
* V: 479.4 Å³/cell

***

[9]
A plane-wave DFT calculation with GGA-PBE was carried out for a relaxed structure of Sc2TlAsS.

Cell: 5.5138 5.5138 4.8961 Å, 90.00 90.00 90.00°
With the nearest neighbours (Å) after each atom.
Space group P4/mmm (No. 123)
Symmetry-distinct sites (fractional):
Sc 0.0000 0.5000 0.0000  2 Tl 2.76
Tl 0.0000 0.0000 0.0000  2 As 2.45
As 0.0000 0.0000 0.5000  2 Tl 2.45
S 0.5000 0.5000 0.5000  8 Sc 3.69, 4 As 3.90

Computed properties:
* raw formation energy: 602 meV/atom
* V: 148.8 Å³/cell

***

[10]
A plane-wave DFT calculation with GGA-PBE was carried out for a relaxed structure of ScAs2WS.

Cell: 4.8717 4.8717 5.0553 Å, 90.00 90.00 90.00°
With the nearest neighbours (Å) after each atom.
Space group P4/mmm (No. 123)
Symmetry-distinct sites (fractional):
Sc 0.0000 0.0000 0.0000  4 As 2.44, 2 W 2.53
As 0.0000 0.5000 0.0000  2 Sc 2.44
W 0.0000 0.0000 0.5000  2 Sc 2.53
S 0.5000 0.5000 0.5000  4 W 3.44, 8 As 3.51

Computed properties:
* raw formation energy: 1499 meV/atom
* V: 120.0 Å³/cell

***

[11]
A plane-wave DFT calculation with GGA-PBE was carried out for a relaxed structure of YScAsS.

Cell: 3.8439 3.8439 20.2230 Å, 90.00 90.00 120.00°
With the nearest neighbours (Å) after each atom.
Space group R3m (No. 160, hexagonal axes)
Symmetry-distinct sites (fractional):
Y 0.0000 0.0000 0.0000  3 As 2.84, 3 S 2.89
Sc 0.0000 0.0000 0.1730  3 As 2.66, 3 S 2.76
As 0.0000 0.0000 0.5792  3 Sc 2.66, 3 Y 2.84
S 0.0000 0.0000 0.7583  3 Sc 2.76, 3 Y 2.89

Computed properties:
* raw formation energy: -1617 meV/atom
* V: 258.8 Å³/cell

***

[12]
A plane-wave DFT calculation with GGA-PBE was carried out for a relaxed structure of ZrScAsS2.

Cell: 4.8498 4.8498 5.3190 Å, 90.00 90.00 90.00°
With the nearest neighbours (Å) after each atom.
Space group P4/mmm (No. 123)
Symmetry-distinct sites (fractional):
Zr 0.0000 0.0000 0.0000  4 S 2.42, 2 As 2.66
Sc 0.5000 0.5000 0.5000  4 As 3.43, 8 S 3.60
As 0.0000 0.0000 0.5000  2 Zr 2.66
S 0.0000 0.5000 0.0000  2 Zr 2.42

Computed properties:
* raw formation energy: -607 meV/atom
* V: 125.1 Å³/cell

***

[13]
A plane-wave DFT calculation with GGA-PBE was carried out for a relaxed structure of AsSeS3.

Cell: 4.7280 4.7280 4.7280 Å, 90.00 90.00 90.00°
With the nearest neighbours (Å) after each atom.
Space group Pm-3m (No. 221)
Symmetry-distinct sites (fractional):
As 0.0000 0.0000 0.0000  6 S 2.36
Se 0.5000 0.5000 0.5000  12 S 3.34
S 0.0000 0.0000 0.5000  2 As 2.36

Computed properties:
* relative energy among the computed polymorphs: 0.7468 eV per atom
* raw formation energy: 816 meV/atom
* V: 105.7 Å³/cell

***

[14]
A plane-wave DFT calculation with GGA-PBE was carried out for a relaxed structure of AsSe2S.

Cell: 6.9160 6.9160 7.9289 Å, 90.00 90.00 90.00°
With the nearest neighbours (Å) after each atom.
Space group I-42d (No. 122)
Symmetry-distinct sites (fractional):
As 0.0000 0.0000 0.0000  4 Se 2.62
Se 0.2459 0.2500 0.1250  2 As 2.62, 2 S 2.66
S 0.0000 0.0000 0.5000  4 Se 2.66

Computed properties:
* relative energy among the computed polymorphs: 0.0892 eV per atom
* raw formation energy: 344 meV/atom
* V: 379.2 Å³/cell

***

[15]
A plane-wave DFT calculation with GGA-PBE was carried out for a relaxed structure of AsSe2S.

Cell: 6.7306 6.7306 6.7306 Å, 90.00 90.00 90.00°
With the nearest neighbours (Å) after each atom.
Space group Fm-3m (No. 225)
Symmetry-distinct sites (fractional):
As 0.0000 0.0000 0.0000  8 Se 2.91
Se 0.2500 0.2500 0.2500  4 S 2.91, 4 As 2.91
S 0.0000 0.0000 0.5000  8 Se 2.91

Computed properties:
* relative energy among the computed polymorphs: 0.3632 eV per atom
* raw formation energy: 618 meV/atom
* V: 304.9 Å³/cell

***

[16]
A plane-wave DFT calculation with GGA-PBE was carried out for a relaxed structure of AsSe2S.

Cell: 3.8317 3.8317 23.6713 Å, 90.00 90.00 120.00°
With the nearest neighbours (Å) after each atom.
Space group R-3m (No. 166, hexagonal axes)
Symmetry-distinct sites (fractional):
As 0.0000 0.0000 0.0000  6 Se 2.73
Se 0.0000 0.0000 0.4010  1 S 2.34
S 0.0000 0.0000 0.5000  2 Se 2.34

Computed properties:
* relative energy among the computed polymorphs: 0.0000 eV per atom
* raw formation energy: 255 meV/atom
* V: 301.0 Å³/cell

***

[17]
A plane-wave DFT calculation with GGA-PBE was carried out for a relaxed structure of As3Se2S2.

Cell: 13.4818 3.9851 7.7239 Å, 90.00 110.38 90.00°
With the nearest neighbours (Å) after each atom.
Space group C2/m (No. 12)
Symmetry-distinct sites (fractional):
As 0.0000 0.0000 0.0000  2 S 2.55, 4 Se 2.73
As 0.2220 0.5000 0.2328  2 S 2.42, 1 Se 2.45
Se 0.1102 0.5000 0.9056  3 As 2.45-2.73
S 0.1465 0.0000 0.3153  3 As 2.42-2.55

Computed properties:
* raw formation energy: -32 meV/atom
* V: 389.0 Å³/cell

***

[18]
A plane-wave DFT calculation with GGA-PBE was carried out for a relaxed structure of As2Se2S.

Cell: 3.4822 9.5402 11.5005 Å, 70.41 84.61 79.80°
With the nearest neighbours (Å) after each atom.
Space group P-1 (No. 2)
Symmetry-distinct sites (fractional):
As 0.0154 0.1205 0.2906  3 Se 2.42-2.45
As 0.1804 0.7145 0.3804  2 S 2.30-2.37, 1 Se 2.44
Se 0.0349 0.9289 0.1940  2 As 2.43-2.44
Se 0.4772 0.2875 0.1738  2 As 2.42-2.45
S 0.2249 0.4205 0.6695  2 As 2.30-2.37

Computed properties:
* raw formation energy: -52 meV/atom
* V: 354.0 Å³/cell

***

[19]
A plane-wave DFT calculation with GGA-PBE was carried out for a relaxed structure of AsSeS2.

Cell: 6.5797 6.5797 6.5797 Å, 90.00 90.00 90.00°
With the nearest neighbours (Å) after each atom.
Space group Fm-3m (No. 225)
Symmetry-distinct sites (fractional):
As 0.0000 0.0000 0.0000  8 S 2.85
Se 0.0000 0.0000 0.5000  8 S 2.85
S 0.2500 0.2500 0.2500  4 As 2.85, 4 Se 2.85

Computed properties:
* relative energy among the computed polymorphs: 0.4688 eV per atom
* raw formation energy: 674 meV/atom
* V: 284.9 Å³/cell

***

[20]
A plane-wave DFT calculation with GGA-PBE was carried out for a relaxed structure of AsSeS3.

Cell: 3.4572 9.4546 9.5170 Å, 89.99 89.94 89.81°
With the nearest neighbours (Å) after each atom.
Space group P1 (No. 1)
Symmetry-distinct sites (fractional):
As 0.0000 0.0000 0.0000  1 S 2.31, 2 Se 2.44
As 0.0011 0.8639 0.5000  1 S 2.31, 2 Se 2.44
Se 0.4995 0.0034 0.6167  2 As 2.44
Se 0.5008 0.8604 0.1166  2 As 2.44
S 0.0027 0.6708 0.6491  1 S 2.11, 1 As 2.31
S 0.0050 0.5038 0.5028  2 S 1.94-2.11
S 0.0054 0.5705 0.3099  1 S 1.94
S 0.9974 0.3601 0.0027  2 S 1.94-2.11
S 0.9985 0.1930 0.1491  1 S 2.11, 1 As 2.31
S 0.9986 0.2933 0.8099  1 S 1.94

Computed properties:
* relative energy among the computed polymorphs: 0.0000 eV per atom
* raw formation energy: 69 meV/atom
* V: 311.1 Å³/cell